Model w:
Compound: CePr3Te4
Source: Alexandria via LeMat-Bulk
Functional: PBE
Structure: optimized geometry

## Properties
- total magnetization (μB/cell) = 1.21

Cell: 4.4852 7.8533 7.8533 Å, 108.98 90.00 90.00°
With the nearest neighbours (Å) after each atom.
Sites, in units of the cell vectors:
Ce: 0.5000 0.0000 0.0000  6 Te 3.18
Pr: 0.0000 0.0000 0.5000  6 Te 3.20
Pr: 0.5000 0.5000 0.5000  6 Te 3.21
Pr: 0.0000 0.5000 0.0000  6 Te 3.20
Te: 0.0000 0.2479 0.2479  2 Ce 3.18, 4 Pr 3.20-3.21
Te: 0.5000 0.7514 0.2486  1 Ce 3.18, 5 Pr 3.20-3.21
Te: 0.0000 0.7521 0.7521  2 Ce 3.18, 4 Pr 3.20-3.21
Te: 0.5000 0.2486 0.7514  1 Ce 3.18, 5 Pr 3.20-3.21

=====

Model x:
Compound: CePr3Te4
Source: Alexandria via LeMat-Bulk
Functional: PBE
Structure: optimized geometry

## Properties
- total magnetization (μB/cell) = 2.82

Cell: 4.4484 4.4484 30.6096 Å, 90.00 90.00 120.00°
With the nearest neighbours (Å) after each atom.
Sites, in units of the cell vectors:
Pr: 0.0000 0.0000 0.0000  6 Te 3.20
Pr: 0.0000 0.0000 0.5000  6 Te 3.20
Pr: 0.3333 0.6667 0.8757  6 Te 3.20
Pr: 0.6667 0.3333 0.1243  6 Te 3.20
Pr: 0.6667 0.3333 0.3757  6 Te 3.20
Pr: 0.3333 0.6667 0.6243  6 Te 3.20
Te: 0.6667 0.3333 0.9379  6 Pr 3.20
Te: 0.3333 0.6667 0.0621  6 Pr 3.20
Te: 0.3333 0.6667 0.4379  6 Pr 3.20
Te: 0.6667 0.3333 0.5621  6 Pr 3.20
Te: 0.0000 0.0000 0.8132  3 Pr 3.20, 3 Ce 3.22
Te: 0.0000 0.0000 0.1868  3 Pr 3.20, 3 Ce 3.22
Te: 0.0000 0.0000 0.3132  3 Pr 3.20, 3 Ce 3.22
Te: 0.0000 0.0000 0.6868  3 Pr 3.20, 3 Ce 3.22
Ce: 0.6667 0.3333 0.7500  6 Te 3.22
Ce: 0.3333 0.6667 0.2500  6 Te 3.22

=====

Most stable structure - model w; separation to the second - 22 meV/atom.

=====

Model w:
Compound: Ce2PrTe4
Source: Alexandria via LeMat-Bulk
Functional: PBE
Structure: optimized geometry

## Properties
- total magnetization (μB/cell) = 4.92

Cell: 4.3735 7.7469 15.3539 Å, 90.00 90.00 106.40°
With the nearest neighbours (Å) after each atom.
Sites, in units of the cell vectors:
Ce: 0.1346 0.2693 0.4324  6 Te 3.14-3.23
Ce: 0.8654 0.7307 0.9324  6 Te 3.14-3.23
Ce: 0.1346 0.2693 0.0676  6 Te 3.14-3.23
Ce: 0.8654 0.7307 0.5676  6 Te 3.14-3.23
Pr: 0.6211 0.2423 0.7500  6 Te 3.21-3.27
Pr: 0.3789 0.7577 0.2500  6 Te 3.21-3.27
Te: 0.7786 0.5572 0.1251  3 Ce 3.18-3.23, 2 Pr 3.27
Te: 0.7786 0.5572 0.3749  3 Ce 3.18-3.23, 2 Pr 3.27
Te: 0.2214 0.4428 0.8749  3 Ce 3.18-3.23, 2 Pr 3.27
Te: 0.2214 0.4428 0.6251  3 Ce 3.18-3.23, 2 Pr 3.27
Te: 0.9632 0.9264 0.7500  2 Ce 3.16, 2 Pr 3.21
Te: 0.0368 0.0736 0.2500  2 Ce 3.16, 2 Pr 3.21
Te: 0.5000 0.0000 0.0000  4 Ce 3.14
Te: 0.5000 0.0000 0.5000  4 Ce 3.14

=====

Model x:
Compound: Ce2PrTe4
Source: Alexandria via LeMat-Bulk
Functional: PBE
Structure: optimized geometry

## Properties
- total magnetization (μB/cell) = 5.88

Cell: 8.2806 8.2806 8.2806 Å, 109.50 109.42 109.50°
With the nearest neighbours (Å) after each atom.
Sites, in units of the cell vectors:
Ce: 0.3750 0.8777 0.7527  8 Te 3.23-3.40
Ce: 0.5027 0.3777 0.6250  8 Te 3.23-3.40
Ce: 0.8750 0.1223 0.4973  8 Te 3.23-3.40
Ce: 0.2473 0.6223 0.1250  8 Te 3.23-3.40
Pr: 0.7500 0.5000 0.2500  8 Te 3.24-3.39
Pr: 0.0000 0.0000 0.0000  8 Te 3.24-3.39
Te: 0.7769 0.2493 0.8741  4 Ce 3.23-3.40, 2 Pr 3.24-3.39, 1 Te 3.62
Te: 0.9731 0.5972 0.7224  4 Ce 3.23-3.40, 2 Pr 3.24-3.39, 1 Te 3.62
Te: 0.6248 0.7507 0.5276  4 Ce 3.23-3.40, 2 Pr 3.24-3.39, 1 Te 3.62
Te: 0.1252 0.4028 0.3759  4 Ce 3.23-3.40, 2 Pr 3.24-3.39, 1 Te 3.62
Te: 0.4724 0.0972 0.2231  4 Ce 3.23-3.40, 2 Pr 3.24-3.39, 1 Te 3.62
Te: 0.6241 0.7493 0.0269  4 Ce 3.23-3.40, 2 Pr 3.24-3.39, 1 Te 3.62
Te: 0.2776 0.2507 0.8748  4 Ce 3.23-3.40, 2 Pr 3.24-3.39, 1 Te 3.62
Te: 0.1259 0.9028 0.3752  4 Ce 3.23-3.40, 2 Pr 3.24-3.39, 1 Te 3.62

=====

Most stable structure - model x; separation to the second - 59 meV/atom.

=====

Model w:
Compound: CePrTe
Source: Alexandria via LeMat-Bulk
Functional: PBE
Structure: optimized geometry

## Properties
- total magnetization (μB/cell) = 1.66

Cell: 4.8621 4.9517 4.9517 Å, 120.00 90.00 90.00°
With the nearest neighbours (Å) after each atom.
Sites, in units of the cell vectors:
Pr: 0.5947 0.6667 0.3333  3 Te 3.14
Te: 0.3293 0.3333 0.6667  3 Ce 3.11, 3 Pr 3.14
Ce: 0.0761 0.0000 0.0000  3 Te 3.11

=====

Model x:
Compound: CePrTe
Source: Alexandria via LeMat-Bulk
Functional: PBE
Structure: optimized geometry

## Properties
- total magnetization (μB/cell) = 4.76

Cell: 6.5899 6.5899 9.6430 Å, 90.00 90.00 78.76°
With the nearest neighbours (Å) after each atom.
Sites, in units of the cell vectors:
Ce: 0.0000 0.0000 0.2500  4 Te 3.19, 4 Pr 3.51
Ce: 0.5000 0.5000 0.2500  4 Te 3.19, 4 Pr 3.51
Ce: 0.5000 0.5000 0.7500  4 Te 3.19, 4 Pr 3.51
Ce: 0.0000 0.0000 0.7500  4 Te 3.19, 4 Pr 3.51
Te: 0.2500 0.7500 0.0000  4 Ce 3.19, 4 Pr 3.29
Te: 0.7500 0.2500 0.0000  4 Ce 3.19, 4 Pr 3.29
Te: 0.7500 0.2500 0.5000  4 Ce 3.19, 4 Pr 3.29-3.30
Te: 0.2500 0.7500 0.5000  4 Ce 3.19, 4 Pr 3.29-3.30
Pr: 0.2500 0.2500 0.0000  4 Te 3.29, 4 Ce 3.51
Pr: 0.2500 0.2500 0.5000  4 Te 3.29-3.30, 4 Ce 3.51
Pr: 0.7500 0.7500 0.0000  4 Te 3.29, 4 Ce 3.51
Pr: 0.7500 0.7500 0.5000  4 Te 3.29-3.30, 4 Ce 3.51

=====

Most stable structure - model x; separation to the second - 152 meV/atom.

=====

Model w:
Compound: CePr2Th
Source: Alexandria via LeMat-Bulk
Functional: PBE
Structure: optimized geometry

## Properties
- total magnetization (μB/cell) = 0.44

Cell: 3.5956 3.5956 12.0574 Å, 81.42 81.42 60.00°
With the nearest neighbours (Å) after each atom.
Sites, in units of the cell vectors:
Ce: 0.6669 0.6669 0.9993  6 Pr 3.56-3.58, 6 Ce 3.60
Pr: 0.0814 0.0814 0.7558  3 Ce 3.56, 6 Pr 3.60, 3 Th 3.68
Pr: 0.2517 0.2517 0.2448  3 Ce 3.58, 6 Pr 3.60, 3 Th 3.68
Th: 0.4999 0.4999 0.5002  6 Th 3.60, 6 Pr 3.68

=====

Model x:
Compound: CePr2Th
Source: Alexandria via LeMat-Bulk
Functional: PBE
Structure: optimized geometry

## Properties
- total magnetization (μB/cell) = 1.01

Cell: 5.7639 5.7639 5.7639 Å, 60.00 60.00 60.00°
With the nearest neighbours (Å) after each atom.
Sites, in units of the cell vectors:
Pr: 0.2500 0.2500 0.2500  4 Ce 3.53, 4 Th 3.53
Pr: 0.7500 0.7500 0.7500  4 Th 3.53, 4 Ce 3.53
Ce: 0.5000 0.5000 0.5000  8 Pr 3.53
Th: 0.0000 0.0000 0.0000  8 Pr 3.53

=====

Model y:
Compound: CePr2Th
Source: Alexandria via LeMat-Bulk
Functional: PBE
Structure: optimized geometry

## Properties
- total magnetization (μB/cell) = 1.12

Cell: 3.5442 3.5442 12.6666 Å, 81.96 81.96 60.00°
With the nearest neighbours (Å) after each atom.
Sites, in units of the cell vectors:
Pr: 0.0898 0.0898 0.7306  1 Ce 3.37, 3 Th 3.53, 6 Pr 3.54
Pr: 0.9102 0.9102 0.2694  1 Ce 3.37, 3 Th 3.53, 6 Pr 3.54
Ce: 0.0000 0.0000 0.0000  2 Pr 3.37, 6 Ce 3.54
Th: 0.5000 0.5000 0.5000  6 Pr 3.53, 6 Th 3.54

=====

Model z:
Compound: CePr2Th
Source: Alexandria via LeMat-Bulk
Functional: PBE
Structure: optimized geometry

## Properties
- total magnetization (μB/cell) = 0.85

Cell: 5.2116 5.0385 5.0385 Å, 90.00 90.00 90.00°
With the nearest neighbours (Å) after each atom.
Sites, in units of the cell vectors:
Pr: 0.0000 0.0000 0.5000  4 Pr 3.56, 4 Th 3.62, 4 Ce 3.62
Pr: 0.0000 0.5000 0.0000  4 Pr 3.56, 4 Th 3.62, 4 Ce 3.62
Ce: 0.5000 0.0000 0.0000  4 Th 3.56, 8 Pr 3.62
Th: 0.5000 0.5000 0.5000  4 Ce 3.56, 8 Pr 3.62

=====

Most stable structure - model w; separation to the second - 9 meV/atom.